Record 1
Here is a relaxed ZrBi3S crystal from the Alexandria database. Energies are from PBE.

Structure (POSCAR):
```
ZrBi3S
1.0
5.6110 0.0000 0.0000
0.0000 5.6110 0.0000
0.0000 0.0000 5.6110
Zr Bi S
1 3 1
direct
0.0000 0.0000 0.0000 Zr
0.0000 0.0000 0.5000 Bi
0.0000 0.5000 0.0000 Bi
0.5000 0.0000 0.0000 Bi
0.5000 0.5000 0.5000 S
```

Calculated values
* total magnetic moment: 0.538 Bohr magnetons per cell
* D(E_F): 1.0039 states/eV per atom
* E: -21.75 eV/cell

Record 2
Here is a relaxed BPtW3 crystal from the Alexandria database. Energies are from PBE.

Structure (POSCAR):
```
BPtW3
1.0
4.7718 0.0000 0.0000
0.0000 4.7718 0.0000
0.0000 0.0000 4.7718
B Pt W
1 1 3
direct
0.0000 0.0000 0.0000 B
0.5000 0.5000 0.5000 Pt
0.0000 0.5000 0.5000 W
0.5000 0.0000 0.5000 W
0.5000 0.5000 0.0000 W
```

Calculated values
* total magnetic moment: 0.000 Bohr magnetons per cell
* formation energy: 3.02 eV/atom
* D(E_F): 1.4587 states/eV per atom
* E: -36.50 eV/cell

Record 3
Here is a relaxed SrCd4Ir crystal from the Alexandria database. Energies are from PBE.

Structure (POSCAR):
```
SrCd4Ir
1.0
0.0000 4.0515 4.0515
4.0515 0.0000 4.0515
4.0515 4.0515 0.0000
Sr Cd Ir
1 4 1
direct
0.0000 0.0000 0.0000 Sr
0.1282 0.6239 0.6239 Cd
0.6239 0.1282 0.6239 Cd
0.6239 0.6239 0.1282 Cd
0.6239 0.6239 0.6239 Cd
0.2500 0.2500 0.2500 Ir
```

Calculated values
* total magnetic moment: 0.000 Bohr magnetons per cell
* formation energy: 0.07 eV/atom
* D(E_F): 0.8586 states/eV per atom
* E: -13.79 eV/cell

Record 4
Here is a relaxed Ba2Mg4Cd3Ga crystal from the Alexandria database. Energies are from PBE.

Structure (POSCAR):
```
Ba2Mg4Cd3Ga
1.0
4.8857 0.0000 0.0000
0.0000 4.8857 0.0000
0.0000 0.0000 12.2367
Ba Mg Cd Ga
2 4 3 1
direct
0.0000 0.5000 0.2378 Ba
0.5000 0.0000 0.7622 Ba
0.0000 0.0000 0.5000 Mg
0.0000 0.5000 0.8815 Mg
0.5000 0.0000 0.1185 Mg
0.5000 0.5000 0.5000 Mg
0.0000 0.0000 0.0000 Cd
0.0000 0.5000 0.6416 Cd
0.5000 0.0000 0.3584 Cd
0.5000 0.5000 0.0000 Ga
```

Calculated values
* total magnetic moment: 0.000 Bohr magnetons per cell
* formation energy: -0.20 eV/atom
* D(E_F): 0.6468 states/eV per atom
* E: -18.02 eV/cell

Record 5
Here is a relaxed GaFeTeI2 crystal from the Alexandria database. Energies are from PBE.

Structure (POSCAR):
```
GaFeTeI2
1.0
5.4340 0.0000 0.0000
0.0000 5.4340 0.0000
0.0000 0.0000 5.4462
Ga Fe Te I
1 1 1 2
direct
0.0000 0.0000 0.0000 Ga
0.5000 0.5000 0.5000 Fe
0.0000 0.0000 0.5000 Te
0.0000 0.5000 0.0000 I
0.5000 0.0000 0.0000 I
```

Calculated values
* total magnetic moment: 4.035 Bohr magnetons per cell
* D(E_F): 2.0060 states/eV per atom
* E: -14.13 eV/cell

Record 6
Here is a relaxed MnTc2GeH crystal from the Alexandria database. Energies are from PBE.

Structure (POSCAR):
```
MnTc2GeH
1.0
4.1720 0.0000 0.0000
0.0000 4.1720 0.0000
0.0000 0.0000 3.3363
Mn Tc Ge H
1 2 1 1
direct
0.0000 0.0000 0.0000 Mn
0.0000 0.5000 0.5000 Tc
0.5000 0.0000 0.5000 Tc
0.5000 0.5000 0.0000 Ge
0.0000 0.0000 0.5000 H
```

Calculated values
* total magnetic moment: 2.871 Bohr magnetons per cell
* D(E_F): 0.8775 states/eV per atom
* E: -37.85 eV/cell

Record 7
Here is a relaxed UAl2CuAu4 crystal from the Alexandria database. Energies are from PBE.

Structure (POSCAR):
```
UAl2CuAu4
1.0
2.2134 1.2779 8.6888
-2.2134 1.2779 8.6888
0.0000 -2.5559 8.6888
U Al Cu Au
1 2 1 4
direct
0.0000 0.0000 0.0000 U
0.2381 0.2381 0.2381 Al
0.7619 0.7619 0.7619 Al
0.5000 0.5000 0.5000 Cu
0.1306 0.1306 0.1306 Au
0.3941 0.3941 0.3941 Au
0.6059 0.6059 0.6059 Au
0.8694 0.8694 0.8694 Au
```

Calculated values
* total magnetic moment: 2.438 Bohr magnetons per cell
* formation energy: -0.25 eV/atom
* D(E_F): 0.8932 states/eV per atom
* E: -37.98 eV/cell

Record 8
Here is a relaxed PrBiF crystal from the Alexandria database. Energies are from PBE.

Structure (POSCAR):
```
PrBiF
1.0
4.1592 0.0000 0.0000
-2.0796 3.6019 0.0000
0.0000 0.0000 5.0474
Pr Bi F
1 1 1
direct
0.0000 0.0000 0.0000 Pr
0.6667 0.3333 0.5000 Bi
0.3333 0.6667 0.0000 F
```

Calculated values
* total magnetic moment: 0.000 Bohr magnetons per cell
* D(E_F): 0.3680 states/eV per atom
* E: -16.63 eV/cell

Record 9
Here is a relaxed PmNd4Hg4 crystal from the Alexandria database. Energies are from PBE.

Structure (POSCAR):
```
PmNd4Hg4
1.0
9.6727 0.0000 0.0000
0.0000 9.6727 0.0000
0.0000 0.0000 5.7644
Pm Nd Hg
2 8 8
direct
0.2500 0.2500 0.2500 Pm
0.7500 0.7500 0.7500 Pm
0.0931 0.8377 0.6467 Nd
0.1623 0.5931 0.1467 Nd
0.3377 0.9069 0.1467 Nd
0.4069 0.6623 0.6467 Nd
0.5931 0.3377 0.3533 Nd
0.6623 0.0931 0.8533 Nd
0.8377 0.4069 0.8533 Nd
0.9069 0.1623 0.3533 Nd
0.0478 0.1466 0.8547 Hg
0.1466 0.4522 0.6453 Hg
0.3534 0.0478 0.6453 Hg
0.4522 0.3534 0.8547 Hg
0.5478 0.6466 0.1453 Hg
0.6466 0.9522 0.3547 Hg
0.8534 0.5478 0.3547 Hg
0.9522 0.8534 0.1453 Hg
```

Calculated values
* total magnetic moment: 0.000 Bohr magnetons per cell
* formation energy: -0.27 eV/atom
* D(E_F): 0.7623 states/eV per atom
* E: -54.84 eV/cell

Record 10
Here is a relaxed CuTc2H crystal from the Alexandria database. Energies are from PBE.

Structure (POSCAR):
```
CuTc2H
1.0
1.3848 0.7995 7.3709
-1.3848 0.7995 7.3709
0.0000 -1.5990 7.3709
Cu Tc H
1 2 1
direct
0.0000 0.0000 0.0000 Cu
0.1181 0.1181 0.1181 Tc
0.8819 0.8819 0.8819 Tc
0.5000 0.5000 0.5000 H
```

Calculated values
* total magnetic moment: 0.000 Bohr magnetons per cell
* D(E_F): 0.5725 states/eV per atom
* E: -26.48 eV/cell

Record 11
Here is a relaxed Cu2HgP2 crystal from the Alexandria database. Energies are from PBE.

Structure (POSCAR):
```
Cu2HgP2
1.0
-2.0633 2.0633 4.7443
2.0633 -2.0633 4.7443
2.0633 2.0633 -4.7443
Cu Hg P
2 1 2
direct
0.2500 0.7500 0.5000 Cu
0.7500 0.2500 0.5000 Cu
0.0000 0.0000 0.0000 Hg
0.3816 0.3816 0.0000 P
0.6184 0.6184 0.0000 P
```

Calculated values
* total magnetic moment: 0.000 Bohr magnetons per cell
* formation energy: 0.15 eV/atom
* D(E_F): 0.4463 states/eV per atom
* E: -18.55 eV/cell

Record 12
Here is a relaxed Ca2TcTeC crystal from the Alexandria database. Energies are from PBE.

Structure (POSCAR):
```
Ca2TcTeC
1.0
5.1052 0.0000 0.0000
0.0000 5.1052 0.0000
0.0000 0.0000 4.0295
Ca Tc Te C
2 1 1 1
direct
0.0000 0.5000 0.0000 Ca
0.5000 0.0000 0.0000 Ca
0.0000 0.0000 0.5000 Tc
0.5000 0.5000 0.5000 Te
0.0000 0.0000 0.0000 C
```

Calculated values
* total magnetic moment: 0.136 Bohr magnetons per cell
* D(E_F): 0.7786 states/eV per atom
* E: -28.07 eV/cell

Record 13
Here is a relaxed GeH2Pb crystal from the Alexandria database. Energies are from PBE.

Structure (POSCAR):
```
GeH2Pb
1.0
0.0000 3.0620 3.0620
3.0620 0.0000 3.0620
3.0620 3.0620 0.0000
Ge H Pb
1 2 1
direct
0.0000 0.0000 0.0000 Ge
0.2500 0.2500 0.2500 H
0.7500 0.7500 0.7500 H
0.5000 0.5000 0.5000 Pb
```

Calculated values
* total magnetic moment: 0.000 Bohr magnetons per cell
* D(E_F): 0.6138 states/eV per atom
* E: -12.13 eV/cell

Record 14
Here is a relaxed BaAlCoPb2 crystal from the Alexandria database. Energies are from PBE.

Structure (POSCAR):
```
BaAlCoPb2
1.0
6.3546 0.0000 0.0000
0.0000 6.3546 0.0000
0.0000 0.0000 4.7973
Ba Al Co Pb
1 1 1 2
direct
0.0000 0.0000 0.0000 Ba
0.5000 0.5000 0.5000 Al
0.0000 0.0000 0.5000 Co
0.0000 0.5000 0.0000 Pb
0.5000 0.0000 0.0000 Pb
```

Calculated values
* total magnetic moment: 0.000 Bohr magnetons per cell
* formation energy: 1.46 eV/atom
* D(E_F): 1.4200 states/eV per atom
* E: -12.86 eV/cell

Record 15
Here is a relaxed Pm2NdIn2 crystal from the Alexandria database. Energies are from PBE.

Structure (POSCAR):
```
Pm2NdIn2
1.0
2.3580 -8.7995 0.0000
2.3580 8.7995 0.0000
0.0000 0.0000 3.5526
Pm Nd In
2 1 2
direct
0.1857 0.8143 0.0000 Pm
0.8143 0.1857 0.0000 Pm
0.0000 0.0000 0.0000 Nd
0.3944 0.6056 0.5000 In
0.6056 0.3944 0.5000 In
```

Calculated values
* total magnetic moment: 0.001 Bohr magnetons per cell
* formation energy: -0.29 eV/atom
* D(E_F): 1.0301 states/eV per atom
* E: -21.19 eV/cell

Record 16
Here is a relaxed La2NdEr8 crystal from the Alexandria database. Energies are from PBE.

Structure (POSCAR):
```
La2NdEr8
1.0
-2.7614 4.0588 8.0333
2.7614 -4.0588 8.0333
2.7614 4.0588 -8.0333
La Nd Er
2 1 8
direct
0.2008 0.2008 0.0000 La
0.7992 0.7992 0.0000 La
0.5000 0.5000 0.0000 Nd
0.0702 0.3635 0.7067 Er
0.2073 0.0000 0.2073 Er
0.3402 0.8402 0.5000 Er
0.3432 0.6365 0.7067 Er
0.6568 0.3635 0.2933 Er
0.6598 0.1598 0.5000 Er
0.7927 0.0000 0.7927 Er
0.9298 0.6365 0.2933 Er
```

Calculated values
* total magnetic moment: 0.000 Bohr magnetons per cell
* formation energy: 0.12 eV/atom
* D(E_F): 1.2795 states/eV per atom
* E: -49.79 eV/cell

Record 17
Here is a relaxed Tb2Pm2Dy2Tm crystal from the Alexandria database. Energies are from PBE.

Structure (POSCAR):
```
Tb2Pm2Dy2Tm
1.0
2.8386 1.6389 8.1741
-2.8386 1.6389 8.1741
0.0000 -3.2777 8.1741
Tb Pm Dy Tm
2 2 2 1
direct
0.2142 0.2142 0.2142 Tb
0.7858 0.7858 0.7858 Tb
0.3611 0.3611 0.3611 Pm
0.6389 0.6389 0.6389 Pm
0.0728 0.0728 0.0728 Dy
0.9272 0.9272 0.9272 Dy
0.5000 0.5000 0.5000 Tm
```

Calculated values
* total magnetic moment: 0.005 Bohr magnetons per cell
* formation energy: 0.14 eV/atom
* D(E_F): 2.5012 states/eV per atom
* E: -31.45 eV/cell

Record 18
Here is a relaxed Er4RhBr5 crystal from the Alexandria database. Energies are from PBE.

Structure (POSCAR):
```
Er4RhBr5
1.0
9.4974 -1.9599 0.0000
9.4974 1.9599 0.0000
-1.6825 0.0000 8.3062
Er Rh Br
4 1 5
direct
0.0047 0.0047 0.2142 Er
0.3539 0.3539 0.9297 Er
0.6461 0.6461 0.0703 Er
0.9953 0.9953 0.7858 Er
0.5000 0.5000 0.0000 Rh
0.1689 0.1689 0.3259 Br
0.1836 0.1836 0.8443 Br
0.5000 0.5000 0.5000 Br
0.8164 0.8164 0.1557 Br
0.8311 0.8311 0.6741 Br
```

Calculated values
* total magnetic moment: 0.000 Bohr magnetons per cell
* D(E_F): 0.2127 states/eV per atom
* E: -48.18 eV/cell

Record 19
Here is a relaxed HPdRh crystal from the Alexandria database. Energies are from PBE.

Structure (POSCAR):
```
HPdRh
1.0
1.3811 -4.4404 0.0000
1.3811 4.4404 0.0000
0.0000 0.0000 5.3918
H Pd Rh
2 2 2
direct
0.0069 0.9931 0.7500 H
0.9931 0.0069 0.2500 H
0.2313 0.7687 0.2500 Pd
0.7687 0.2313 0.7500 Pd
0.5000 0.5000 0.0000 Rh
0.5000 0.5000 0.5000 Rh
```

Calculated values
* total magnetic moment: 0.428 Bohr magnetons per cell
* D(E_F): 1.5486 states/eV per atom
* E: -31.11 eV/cell

Record 20
Here is a relaxed Sm2TmUN4 crystal from the Alexandria database. Energies are from PBE.

Structure (POSCAR):
```
Sm2TmUN4
1.0
5.9836 0.0000 0.0000
0.0000 3.4979 0.0000
-1.9699 0.0000 5.7441
Sm Tm U N
2 1 1 4
direct
0.0000 0.0000 0.0000 Sm
0.5000 0.5000 0.0000 Sm
0.0000 0.5000 0.5000 Tm
0.5000 0.0000 0.5000 U
0.2579 0.0000 0.7206 N
0.2673 0.5000 0.2794 N
0.7327 0.5000 0.7206 N
0.7421 0.0000 0.2794 N
```

Calculated values
* total magnetic moment: 0.770 Bohr magnetons per cell
* D(E_F): 0.6226 states/eV per atom
* E: -71.02 eV/cell

Record 21
Here is a relaxed Rb4Np3BeS8 crystal from the Alexandria database. Energies are from PBE.

Structure (POSCAR):
```
Rb4Np3BeS8
1.0
6.7336 -4.2408 0.0000
6.7336 4.2408 0.0000
-0.4782 0.0000 7.8634
Rb Np Be S
4 3 1 8
direct
0.0000 0.0000 0.0000 Rb
0.0000 0.5000 0.0000 Rb
0.5000 0.0000 0.0000 Rb
0.5000 0.5000 0.0000 Rb
0.0000 0.0000 0.5000 Np
0.0000 0.5000 0.5000 Np
0.5000 0.0000 0.5000 Np
0.5000 0.5000 0.5000 Be
0.1468 0.6896 0.7016 S
0.1791 0.1791 0.6929 S
0.3104 0.8532 0.2984 S
0.3654 0.3654 0.3554 S
0.6346 0.6346 0.6446 S
0.6896 0.1468 0.7016 S
0.8209 0.8209 0.3071 S
0.8532 0.3104 0.2984 S
```

Calculated values
* total magnetic moment: 3.778 Bohr magnetons per cell
* D(E_F): 1.2942 states/eV per atom
* E: -97.31 eV/cell

Record 22
Here is a relaxed Li6Hg2Pb crystal from the Alexandria database. Energies are from PBE.

Structure (POSCAR):
```
Li6Hg2Pb
1.0
4.9635 -4.0200 0.0000
4.9635 4.0200 0.0000
-2.0628 0.0000 4.5267
Li Hg Pb
6 2 1
direct
0.1502 0.5155 0.3316 Li
0.1854 0.8146 0.0000 Li
0.4845 0.8498 0.6684 Li
0.5155 0.1502 0.3316 Li
0.8146 0.1854 0.0000 Li
0.8498 0.4845 0.6684 Li
0.3398 0.3398 0.8316 Hg
0.6602 0.6602 0.1684 Hg
0.0000 0.0000 0.5000 Pb
```

Calculated values
* total magnetic moment: 0.000 Bohr magnetons per cell
* formation energy: -0.23 eV/atom
* D(E_F): 0.2888 states/eV per atom
* E: -17.90 eV/cell

Record 23
Here is a relaxed AlCoPCl2 crystal from the Alexandria database. Energies are from PBE.

Structure (POSCAR):
```
AlCoPCl2
1.0
4.5139 0.0000 0.0000
0.0000 4.5139 0.0000
0.0000 0.0000 5.1225
Al Co P Cl
1 1 1 2
direct
0.0000 0.0000 0.0000 Al
0.5000 0.5000 0.5000 Co
0.0000 0.0000 0.5000 P
0.0000 0.5000 0.0000 Cl
0.5000 0.0000 0.0000 Cl
```

Calculated values
* total magnetic moment: 2.472 Bohr magnetons per cell
* D(E_F): 1.1762 states/eV per atom
* E: -18.49 eV/cell

Record 24
Here is a relaxed Cd3ReB crystal from the Alexandria database. Energies are from PBE.

Structure (POSCAR):
```
Cd3ReB
1.0
4.5167 0.0000 0.0000
0.0000 4.5167 0.0000
0.0000 0.0000 4.5167
Cd Re B
3 1 1
direct
0.0000 0.0000 0.5000 Cd
0.0000 0.5000 0.0000 Cd
0.5000 0.0000 0.0000 Cd
0.5000 0.5000 0.5000 Re
0.0000 0.0000 0.0000 B
```

Calculated values
* total magnetic moment: 2.944 Bohr magnetons per cell
* formation energy: 1.32 eV/atom
* D(E_F): 0.6478 states/eV per atom
* E: -15.28 eV/cell

Record 25
Here is a relaxed KCuCO3F crystal from the Alexandria database. Energies are from PBE.

Structure (POSCAR):
```
KCuCO3F
1.0
4.0227 0.0000 0.0000
0.0000 5.2450 0.0000
0.0000 0.0000 9.0272
K Cu C O F
2 2 2 6 2
direct
0.0000 0.2000 0.0000 K
0.0000 0.8000 0.5000 K
0.5000 0.3022 0.6542 Cu
0.5000 0.6978 0.1542 Cu
0.5000 0.2891 0.3371 C
0.5000 0.7109 0.8371 C
0.5000 0.1567 0.4598 O
0.5000 0.1753 0.2129 O
0.5000 0.4611 0.8470 O
0.5000 0.5389 0.3470 O
0.5000 0.8247 0.7129 O
0.5000 0.8433 0.9598 O
0.0000 0.3123 0.6516 F
0.0000 0.6877 0.1516 F
```

Calculated values
* total magnetic moment: 0.000 Bohr magnetons per cell
* D(E_F): 0.1926 states/eV per atom
* E: -83.83 eV/cell

Record 26
Here is a relaxed LiReAu crystal from the Alexandria database. Energies are from PBE.

Structure (POSCAR):
```
LiReAu
1.0
0.0000 2.2339 7.1423
1.4739 0.0000 7.1423
1.4739 2.2339 0.0000
Li Re Au
1 1 1
direct
0.0000 0.0000 0.0000 Li
0.6630 0.6630 0.3370 Re
0.3421 0.3421 0.6579 Au
```

Calculated values
* total magnetic moment: 0.000 Bohr magnetons per cell
* formation energy: 0.28 eV/atom
* D(E_F): 0.8580 states/eV per atom
* E: -16.81 eV/cell